The following is a GGA-PBE calculation of Ce2NdZn after structural relaxation, from the Alexandria database.

Output
Magnetic moment, μB/f.u.: 1.3
E_form, kcal/mol of atoms: -0.3

The structure in CIF format:
```
data_Ce2NdZn
_cell_length_a 3.7304
_cell_length_b 3.7304
_cell_length_c 8.1086
_cell_angle_alpha 90.00
_cell_angle_beta 90.00
_cell_angle_gamma 90.00
_space_group_name_H-M_alt 'P 4/m m m'
_space_group_IT_number 123
_space_group_name_Hall '-P 4 2'
loop_
_atom_site_label
_atom_site_type_symbol
_atom_site_fract_x
_atom_site_fract_y
_atom_site_fract_z
Ce1 Ce 0.0000 0.0000 0.1946
Nd1 Nd 0.5000 0.5000 0.5000
Zn1 Zn 0.5000 0.5000 0.0000
```